[1]
Here is a geometry-optimized ScV2Sn structure from the Alexandria database. Energies are from PBE-GGA.

The structure in CIF format:
```
data_ScV2Sn
_chemical_formula_sum 'Sc2 V4 Sn2'
_symmetry_space_group_name_H-M 'P 1'
_symmetry_Int_Tables_number 1
_cell_length_a 5.9538
_cell_length_b 5.9538
_cell_length_c 5.9538
_cell_angle_alpha 102.58
_cell_angle_beta 102.58
_cell_angle_gamma 124.37
loop_
_symmetry_equiv_pos_as_xyz
'x,y,z'
loop_
_atom_site_label
_atom_site_type_symbol
_atom_site_fract_x
_atom_site_fract_y
_atom_site_fract_z
Sc1 Sc 0.0000 0.0000 0.0000
Sc2 Sc 0.7500 0.2500 0.5000
V1 V 0.1376 0.6250 0.0126
V2 V 0.3750 0.3876 0.5126
V3 V 0.6124 0.1250 0.9874
V4 V 0.8750 0.8624 0.4874
Sn1 Sn 0.2500 0.7500 0.5000
Sn2 Sn 0.5000 0.5000 0.0000
```

- Total DFT energy (no corrections): -52.3 eV for the cell shown
- N(E_F): 6.15 states/eV/f.u.
- Calculated formation energy: 0.60 eV/atom
- Total magnetic moment: 0.2 μB per formula unit

[2]
Here is a geometry-optimized Pr2PaGa3Pt4 structure from the Alexandria database. Energies are from PBE-GGA.

The structure in CIF format:
```
data_Pr2PaGa3Pt4
_chemical_formula_sum 'Pr2 Pa1 Ga3 Pt4'
_symmetry_space_group_name_H-M 'P 1'
_symmetry_Int_Tables_number 1
_cell_length_a 4.3990
_cell_length_b 4.3990
_cell_length_c 10.9803
_cell_angle_alpha 90.00
_cell_angle_beta 90.00
_cell_angle_gamma 90.00
loop_
_symmetry_equiv_pos_as_xyz
'x,y,z'
loop_
_atom_site_label
_atom_site_type_symbol
_atom_site_fract_x
_atom_site_fract_y
_atom_site_fract_z
Pr1 Pr 0.0000 0.5000 0.2251
Pr2 Pr 0.5000 0.0000 0.7749
Pa1 Pa 0.0000 0.0000 0.5000
Ga1 Ga 0.0000 0.5000 0.8796
Ga2 Ga 0.5000 0.0000 0.1204
Ga3 Ga 0.5000 0.5000 0.5000
Pt1 Pt 0.0000 0.0000 0.0000
Pt2 Pt 0.0000 0.5000 0.6512
Pt3 Pt 0.5000 0.0000 0.3488
Pt4 Pt 0.5000 0.5000 0.0000
```

- Total DFT energy (no corrections): -61.3 eV for the cell shown
- N(E_F): 8.04 states/eV/f.u.
- Calculated formation energy: -0.90 eV/atom
- Total magnetic moment: 0.0 μB per formula unit